1.
A PBEsol-optimized structure of Li3FeNi3O8. Source: the Alexandria database, functional meta-GGA SCAN.

Output
E_form (uncorrected): -1.614 eV per atom
E: -147.885 eV/cell
SG: C2/m (12)
total moment: 1.0 μB per formula unit

Geometry as CIF:
```
data_Li3FeNi3O8
_space_group_name_H-M_alt 'P 1'
_space_group_IT_number 1
_cell_length_a 5.6025
_cell_length_b 5.7093
_cell_length_c 5.6905
_cell_angle_alpha 119.88
_cell_angle_beta 90.00
_cell_angle_gamma 119.38
loop_
_space_group_symop_operation_xyz
'x,y,z'
loop_
_atom_site_label
_atom_site_type_symbol
_atom_site_fract_x
_atom_site_fract_y
_atom_site_fract_z
Ni1 Ni 0.5000 0.5000 0.0000
Ni2 Ni 0.0000 0.5000 0.0000
Ni3 Ni 0.0000 0.0000 0.0000
O1 O 0.2512 0.0071 0.7832
Li1 Li 0.0000 0.5000 0.5000
O2 O 0.7689 0.5379 0.7948
O3 O 0.2311 0.4621 0.2052
Li2 Li 0.0000 0.0000 0.5000
O4 O 0.7488 0.9929 0.2168
O5 O 0.7559 0.0071 0.7832
O6 O 0.2441 0.9929 0.2168
Fe1 Fe 0.5000 0.0000 0.0000
O7 O 0.7302 0.4603 0.2180
Li3 Li 0.5000 0.5000 0.5000
O8 O 0.2698 0.5397 0.7820
```

---

2.
A PBEsol-optimized structure of K2CuF4. Source: the Alexandria database, functional meta-GGA SCAN.

Output
E_form (uncorrected): -2.540 eV per atom
E: -127.587 eV/cell
SG: Cmce (64)
total moment: 1.0 μB per formula unit

Geometry as CIF:
```
data_K2CuF4
_space_group_name_H-M_alt 'P 1'
_space_group_IT_number 1
_cell_length_a 5.7637
_cell_length_b 5.7636
_cell_length_c 6.9765
_cell_angle_alpha 90.00
_cell_angle_beta 114.40
_cell_angle_gamma 90.00
loop_
_space_group_symop_operation_xyz
'x,y,z'
loop_
_atom_site_label
_atom_site_type_symbol
_atom_site_fract_x
_atom_site_fract_y
_atom_site_fract_z
F1 F 0.7375 0.7373 0.0000
F2 F 0.1540 0.0000 0.3080
F3 F 0.6540 0.5000 0.3080
F4 F 0.2625 0.2626 0.0000
K1 K 0.3576 0.0000 0.7152
F5 F 0.8460 0.0000 0.6920
K2 K 0.1424 0.5000 0.2848
K3 K 0.8576 0.5000 0.7152
Cu1 Cu 0.5000 0.5000 0.0000
F6 F 0.2375 0.7627 0.0000
F7 F 0.7625 0.2374 0.0000
Cu2 Cu 0.0000 0.0000 0.0000
F8 F 0.3460 0.5000 0.6920
K4 K 0.6424 0.0000 0.2848
```

---

What is the formula in the second record? K2CuF4

---

E_form (uncorrected) of number 1 (Li3FeNi3O8)? -1.614 eV per atom

---

Which of these has the highest E? K2CuF4